Entry 1:
CaYRe2: relaxed, PBE-GGA.

formation energy = 892 meV per atom
space-group type = R-3m (166)

Cell lengths 10.536, 10.536, 10.536 Å; angles 16.08, 16.08, 16.08 degrees
Sites, in units of the cell vectors:
1 Y 0.250 0.250 0.250
2 Re 0.499 0.499 0.499
3 Re 0.001 0.001 0.001
4 Ca 0.750 0.750 0.750

=====

Entry 2:
Mg5GaRh6: relaxed, PBE-GGA.

formation energy = -555 meV per atom
space-group type = C2/m (12)

Cell lengths 4.377, 7.602, 7.602 Å; angles 120.02, 106.78, 106.78 degrees
Sites, in units of the cell vectors:
1 Ga 0.000 0.000 0.000
2 Mg 0.500 0.500 0.500
3 Mg 0.500 0.829 0.171
4 Mg 0.000 0.335 0.665
5 Mg 0.500 0.171 0.829
6 Mg 0.000 0.665 0.335
7 Rh 0.737 0.237 0.237
8 Rh 0.756 0.919 0.594
9 Rh 0.756 0.594 0.919
10 Rh 0.244 0.406 0.081
11 Rh 0.244 0.081 0.406
12 Rh 0.263 0.763 0.763

=====

Entry 3:
Y2Cu3Si: relaxed, PBE-GGA.

space-group type = Pmm2 (25)
formation energy from raw total energies = -2.58 eV/f.u.

Cell lengths 3.701, 4.129, 7.351 Å; angles 90.00, 90.00, 90.00 degrees
Sites, in units of the cell vectors:
1 Y 0.000 0.000 0.498
2 Y 0.000 0.500 0.002
3 Cu 0.500 0.000 0.174
4 Cu 0.500 0.500 0.658
5 Cu 0.500 0.000 0.837
6 Si 0.500 0.500 0.331

=====

Entry 4:
PmPrSm2Tl4: relaxed, PBE-GGA.

formation energy = -382 meV per atom
space-group type = R-3m (166)

Cell lengths 5.492, 5.492, 9.522 Å; angles 73.24, 73.24, 60.00 degrees
Sites, in units of the cell vectors:
1 Sm 0.250 0.250 0.250
2 Sm 0.750 0.750 0.750
3 Tl 0.126 0.126 0.623
4 Tl 0.624 0.624 0.127
5 Tl 0.874 0.874 0.377
6 Tl 0.376 0.376 0.873
7 Pr 0.000 0.000 0.000
8 Pm 0.500 0.500 0.500

=====

Entry 5:
CaNdHgGe: relaxed, PBE-GGA.

formation energy = -562 meV per atom
space-group type = F-43m (216)

Cell lengths 5.291, 5.291, 5.291 Å; angles 60.00, 60.00, 60.00 degrees
Sites, in units of the cell vectors:
1 Ge 0.250 0.250 0.250
2 Ca 0.500 0.500 0.500
3 Nd 0.000 0.000 0.000
4 Hg 0.750 0.750 0.750

=====

Entry 6:
La2Pr5Tm3: relaxed, PBE-GGA.

formation energy = 303 meV per atom
space-group type = Ibam (72)

Cell lengths 6.559, 11.198, 11.198 Å; angles 97.94, 72.97, 72.97 degrees
Sites, in units of the cell vectors:
1 Pr 0.500 0.250 0.250
2 Pr 0.338 0.320 0.005
3 Pr 0.838 0.005 0.320
4 Pr 0.500 0.750 0.750
5 Pr 0.250 0.500 0.500
6 Pr 0.162 0.995 0.680
7 Pr 0.000 0.750 0.750
8 Pr 0.750 0.500 0.500
9 Pr 0.662 0.680 0.995
10 Pr 0.000 0.250 0.250
11 La 0.098 0.688 0.116
12 La 0.902 0.312 0.884
13 La 0.598 0.116 0.688
14 La 0.402 0.884 0.312
15 Tm 0.372 0.472 0.785
16 Tm 0.250 0.000 0.000
17 Tm 0.750 0.000 0.000
18 Tm 0.872 0.785 0.472
19 Tm 0.628 0.528 0.215
20 Tm 0.128 0.215 0.528

=====

Entry 7:
Ho3ReB7: relaxed, PBE-GGA.

formation energy = -632 meV per atom
space-group type = Cmcm (63)

Cell lengths 8.064, 8.064, 9.335 Å; angles 90.00, 90.00, 154.76 degrees
Site moments in Bohr magnetons follow the coordinates.
Sites, in units of the cell vectors:
1 B 0.368 0.632 0.651  0.00
2 B 0.480 0.520 0.595  0.00
3 B 0.273 0.727 0.967  0.00
4 B 0.520 0.480 0.405  0.00
5 B 0.456 0.544 0.250  0.00
6 B 0.727 0.273 0.467  0.00
7 B 0.368 0.632 0.849  0.00
8 B 0.520 0.480 0.095  0.00
9 B 0.544 0.456 0.750  0.00
10 B 0.480 0.520 0.905  0.00
11 B 0.632 0.368 0.151  0.00
12 B 0.273 0.727 0.533  0.00
13 B 0.727 0.273 0.033  0.00
14 B 0.632 0.368 0.349  0.00
15 Re 0.053 0.947 0.250  0.14
16 Re 0.947 0.053 0.750  0.14
17 Ho 0.105 0.895 0.560  0.00
18 Ho 0.895 0.105 0.060  0.00
19 Ho 0.895 0.105 0.440  0.00
20 Ho 0.105 0.895 0.940  0.00
21 Ho 0.758 0.242 0.750  0.01
22 Ho 0.242 0.758 0.250  0.01

=====

Entry 8:
Cd2AgBr: relaxed, PBE-GGA.

space-group type = Imm2 (44)
formation energy from raw total energies = -0.19 eV/f.u.

Cell lengths 5.916, 5.916, 5.916 Å; angles 146.27, 119.57, 71.02 degrees
Sites, in units of the cell vectors:
1 Ag 0.506 0.506 0.000
2 Br 0.258 0.758 0.500
3 Cd 0.996 0.996 0.000
4 Cd 0.740 0.240 0.500

=====

For the records above, the corresponding size of the total moment values read 0.00 0.00 0.00 0.00 0.00 0.00 0.17 0.00 μB per formula unit.
For the records above, the corresponding E_tot values read -29.8 -61.8 -33.2 -31.5 -13.9 -88.3 -159.7 -6.5 eV per cell.